1.
Density functional theory data (PBE) for a relaxed La3Cd2Pd4 crystal. Values from VASP.

Spin magnetization (μB/f.u.): 0.0
Symmetry: No. 12
Energy relative to the lowest polymorph listed for this composition (eV per atom): 0.000

Quantum ESPRESSO input file:
```
&SYSTEM
  ibrav = 0, nat = 9, ntyp = 3
/
ATOMIC_SPECIES
La 138.91 La.upf
Cd 112.41 Cd.upf
Pd 106.42 Pd.upf
ATOMIC_POSITIONS angstrom
La 0.0000 0.0000 0.0000
La 3.1910 0.0000 2.4271
La 4.8268 0.0000 5.6806
Cd 1.2104 0.0000 5.3539
Cd 6.8074 0.0000 2.7538
Pd -0.9999 0.0000 3.3363
Pd -0.4478 0.0000 7.6101
Pd 8.4656 0.0000 0.4976
Pd 9.0176 0.0000 4.7713
CELL_PARAMETERS angstrom
6.1976 -2.1542 0.0000
6.1976 2.1542 0.0000
-4.3775 0.0000 8.1077
```


2.
Density functional theory data (PBE) for a relaxed LaCdPd crystal. Values from VASP.

Spin magnetization (μB/f.u.): 0.0
Symmetry: No. 12
Energy (eV/cell): -25.83

Quantum ESPRESSO input file:
```
&SYSTEM
  ibrav = 0, nat = 6, ntyp = 3
/
ATOMIC_SPECIES
La 138.91 La.upf
Cd 112.41 Cd.upf
Pd 106.42 Pd.upf
ATOMIC_POSITIONS angstrom
La 1.2247 0.0000 1.5983
La 9.8027 0.0000 3.7394
Cd 4.7967 0.0000 1.2063
Cd 6.2307 0.0000 4.1314
Pd 1.8286 0.0000 4.4590
Pd 9.1988 0.0000 0.8788
CELL_PARAMETERS angstrom
5.9915 -2.3339 0.0000
5.9915 2.3339 0.0000
-0.9556 0.0000 5.3377
```


3.
Density functional theory data (PBE) for a relaxed La2CdPd3 crystal. Values from VASP.

Spin magnetization (μB/f.u.): 0.0
Symmetry: No. 71
Energy relative to the lowest polymorph listed for this composition (eV per atom): 0.152

Quantum ESPRESSO input file:
```
&SYSTEM
  ibrav = 0, nat = 6, ntyp = 3
/
ATOMIC_SPECIES
La 138.91 La.upf
Cd 112.41 Cd.upf
Pd 106.42 Pd.upf
ATOMIC_POSITIONS angstrom
La 0.0000 0.0000 1.9471
La 0.0000 0.0000 8.9095
Cd 0.0000 0.0000 5.4283
Pd 2.3512 0.0000 0.0000
Pd 2.3512 0.0000 3.9914
Pd 0.0000 2.8397 1.4369
CELL_PARAMETERS angstrom
-2.3512 2.8397 5.4283
2.3512 -2.8397 5.4283
2.3512 2.8397 -5.4283
```


4.
Density functional theory data (PBE) for a relaxed La4CdPd crystal. Values from VASP.

Spin magnetization (μB/f.u.): 0.0
Symmetry: No. 216
Energy relative to the lowest polymorph listed for this composition (eV per atom): 0.000

Quantum ESPRESSO input file:
```
&SYSTEM
  ibrav = 0, nat = 24, ntyp = 3
/
ATOMIC_SPECIES
La 138.91 La.upf
Cd 112.41 Cd.upf
Pd 106.42 Pd.upf
ATOMIC_POSITIONS angstrom
La 3.6045 3.6045 0.8059
La 3.6045 0.8059 3.6045
La 6.4032 3.6045 3.6045
La 7.2091 7.2091 2.6824
La 7.2091 2.6824 7.2091
La 11.7357 7.2091 7.2091
La 8.6684 5.7498 5.7498
La 0.8059 3.6045 3.6045
La 3.6045 6.4032 3.6045
La 3.6045 3.6045 6.4032
La 5.7498 8.6684 5.7498
La 5.7498 5.7498 8.6684
La 8.6684 8.6684 8.6684
La 2.6824 7.2091 7.2091
La 7.2091 11.7357 7.2091
La 7.2091 7.2091 11.7357
Cd 11.9640 9.6632 9.6632
Cd 9.6632 11.9640 9.6632
Cd 9.6632 9.6632 11.9640
Cd 11.9640 11.9640 11.9640
Pd 5.6716 5.6716 5.6716
Pd 8.7466 8.7466 5.6716
Pd 8.7466 5.6716 8.7466
Pd 5.6716 8.7466 8.7466
CELL_PARAMETERS angstrom
0.0000 7.2091 7.2091
7.2091 0.0000 7.2091
7.2091 7.2091 0.0000
```


5.
Density functional theory data (PBE) for a relaxed La3Cd4Pd4 crystal. Values from VASP.

Spin magnetization (μB/f.u.): 0.0
Symmetry: No. 71
Energy (eV/cell): -46.15

Quantum ESPRESSO input file:
```
&SYSTEM
  ibrav = 0, nat = 11, ntyp = 3
/
ATOMIC_SPECIES
La 138.91 La.upf
Cd 112.41 Cd.upf
Pd 106.42 Pd.upf
ATOMIC_POSITIONS angstrom
La 0.0000 0.0000 0.0000
La 2.1123 0.0000 5.7200
La 0.0000 4.0622 1.8368
Cd 2.1123 1.5614 -2.5938
Cd 2.1123 1.5614 2.5938
Cd 0.0000 2.5008 4.9630
Cd 0.0000 2.5008 10.1507
Pd 0.0000 0.0000 3.4734
Pd 2.1123 2.5390 0.0000
Pd 0.0000 1.5231 7.5568
Pd 0.0000 0.0000 11.6402
CELL_PARAMETERS angstrom
-2.1123 4.0622 7.5568
2.1123 -4.0622 7.5568
2.1123 4.0622 -7.5568
```


6.
Density functional theory data (PBE) for a relaxed La2Cd5Pd crystal. Values from VASP.

Spin magnetization (μB/f.u.): 0.0
Symmetry: No. 63
Energy (eV/cell): -45.02

Quantum ESPRESSO input file:
```
&SYSTEM
  ibrav = 0, nat = 16, ntyp = 3
/
ATOMIC_SPECIES
La 138.91 La.upf
Cd 112.41 Cd.upf
Pd 106.42 Pd.upf
ATOMIC_POSITIONS angstrom
La 0.0000 0.0000 0.0000
La 0.0000 0.0000 5.1018
La 2.2199 5.9509 7.6527
La 2.2199 -5.9509 2.5509
Cd 2.2199 5.4456 1.0934
Cd 2.2199 5.4456 4.0084
Cd 2.2199 2.5172 0.2310
Cd 2.2199 2.5172 4.8708
Cd 2.2199 1.7796 7.6527
Cd 2.2199 -1.7796 2.5509
Cd 2.2199 -2.5172 5.3328
Cd 2.2199 -2.5172 9.9726
Cd 2.2199 -5.4456 6.1952
Cd 2.2199 -5.4456 9.1102
Pd 2.2199 0.9755 2.5509
Pd 2.2199 -0.9755 7.6527
CELL_PARAMETERS angstrom
2.2199 -9.1690 0.0000
2.2199 9.1690 0.0000
0.0000 0.0000 10.2036
```


7.
Density functional theory data (PBE) for a relaxed La5CdPd2 crystal. Values from VASP.

Spin magnetization (μB/f.u.): 0.0
Symmetry: No. 140
Energy (eV/cell): -79.56

Quantum ESPRESSO input file:
```
&SYSTEM
  ibrav = 0, nat = 16, ntyp = 3
/
ATOMIC_SPECIES
La 138.91 La.upf
Cd 112.41 Cd.upf
Pd 106.42 Pd.upf
ATOMIC_POSITIONS angstrom
La 0.0000 0.0000 0.0000
La 5.4804 1.3266 -1.9483
La 1.3266 2.8272 -1.9483
La 5.4804 1.3266 1.9483
La 1.3266 2.8272 1.9483
La 0.0000 0.0000 6.8976
La 2.8272 1.3266 4.9493
La -1.3266 2.8272 4.9493
La 2.8272 1.3266 8.8459
La -1.3266 2.8272 8.8459
Cd 0.0000 0.0000 3.4488
Cd 0.0000 0.0000 10.3464
Pd 3.0759 1.0779 0.0000
Pd 3.0759 -1.0779 6.8976
Pd 1.0779 5.2317 0.0000
Pd 1.0779 3.0759 6.8976
CELL_PARAMETERS angstrom
-4.1538 4.1538 6.8976
4.1538 -4.1538 6.8976
4.1538 4.1538 -6.8976
```


8.
Density functional theory data (PBE) for a relaxed La2Cd3Pd4 crystal. Values from VASP.

Spin magnetization (μB/f.u.): 0.0
Symmetry: No. 64
Energy (eV/cell): -77.97

Quantum ESPRESSO input file:
```
&SYSTEM
  ibrav = 0, nat = 18, ntyp = 3
/
ATOMIC_SPECIES
La 138.91 La.upf
Cd 112.41 Cd.upf
Pd 106.42 Pd.upf
ATOMIC_POSITIONS angstrom
La 2.9320 6.9583 6.9574
La 2.9320 1.9103 3.1885
La 2.9320 -1.9103 4.3492
La 2.9320 -6.9583 0.5804
Cd 0.0000 0.0000 3.7689
Cd 1.4660 4.1752 5.6533
Cd 1.4660 -4.1752 1.8844
Cd 2.9320 0.0000 0.0000
Cd 4.3979 4.1752 5.6533
Cd 4.3979 -4.1752 1.8844
Pd 2.9320 6.0081 3.9702
Pd 1.4660 1.3460 5.6533
Pd 1.4660 -1.3460 1.8844
Pd 2.9320 2.8605 0.2013
Pd 2.9320 -2.8605 7.3364
Pd 4.3979 1.3460 5.6533
Pd 4.3979 -1.3460 1.8844
Pd 2.9320 -6.0081 3.5675
CELL_PARAMETERS angstrom
2.9320 -8.8686 0.0000
2.9320 8.8686 0.0000
0.0000 0.0000 7.5377
```